(1)
The following is a PBEsol calculation of crystalline CdTcBr at its relaxed geometry, from Alexandria via LeMat-Bulk.

Results
total moment = 1.022 μB per atom
formation energy (no corrections) = 1315 meV per atom

a b c (Å): 4.565 4.565 4.565
angles (deg): 60.00 60.00 60.00
Last column: magnetic moment on the atom in μB.
Sites, in units of the cell vectors:
Tc  0.500  0.500  0.500  2.79
Br  0.250  0.250  0.250  0.06
Cd  0.000  0.000  0.000  -0.04


(2)
The following is a PBEsol calculation of crystalline CdTc2Br at its relaxed geometry, from Alexandria via LeMat-Bulk.

Results
total moment = 0.001 μB per atom
energy above the most stable polymorph in this dataset = 0 meV per atom
formation energy (no corrections) = 1180 meV per atom

a b c (Å): 3.902 3.902 4.434
angles (deg): 90.00 90.00 90.00
Sites, in units of the cell vectors:
Tc  0.000  0.500  0.000
Tc  0.500  0.000  0.000
Cd  0.000  0.000  0.500
Br  0.500  0.500  0.500